Record 1
The following is a PBE calculation of a relaxed ScBeTl2 crystal, from Alexandria via LeMat-Bulk.

Properties
As for the calculated volume: 87.83 Å³ per cell. The energy of formation comes out at 0.22 eV/atom.

a = 4.3403 Å, b = 3.3487 Å, c = 6.1193 Å
α = 80.94°, β = 90.00°, γ = 90.00°
Closest atoms and distances in Å follow each position.
Sites, in units of the cell vectors:
Be (0.0000, 0.2544, 0.5433)  3 Tl 2.57-2.71
Tl (0.0000, 0.1281, 0.9689)  1 Be 2.57
Tl (0.5000, 0.3972, 0.2773)  2 Be 2.71, 1 Sc 3.02
Sc (0.5000, 0.7204, 0.7105)  4 Be 2.89-2.95, 6 Tl 3.02-3.20



Record 2
The following is a PBE calculation of a relaxed ScBeTl2 crystal, from Alexandria via LeMat-Bulk.

Properties
As for the calculated volume: 190.59 Å³ per cell. The energy of formation comes out at 0.42 eV/atom.

a = 4.4829 Å, b = 4.4829 Å, c = 9.9994 Å
α = 77.05°, β = 77.05°, γ = 90.00°
Closest atoms and distances in Å follow each position.
Sites, in units of the cell vectors:
Tl (0.1494, 0.6250, 0.2500)  2 Be 2.81, 2 Sc 2.90, 2 Tl 3.02
Be (0.2500, 0.7500, 0.5000)  4 Tl 2.81
Sc (0.0000, 0.0000, 0.0000)  4 Tl 2.90, 4 Be 3.17
Tl (0.3750, 0.3994, 0.7500)  2 Be 2.81, 2 Sc 2.90, 2 Tl 3.02
Tl (0.8750, 0.8506, 0.7500)  2 Be 2.81, 2 Sc 2.90, 2 Tl 3.02
Be (0.5000, 0.5000, 0.0000)  4 Tl 2.81
Tl (0.6006, 0.1250, 0.2500)  2 Be 2.81, 2 Sc 2.90, 2 Tl 3.02
Sc (0.7500, 0.2500, 0.5000)  4 Tl 2.90, 4 Be 3.17